Record 1
VASP calculation (PBE) on a relaxed structure of SrBAs2.

Cell and atoms, written as extended XYZ:
```
8
Lattice="6.848 0.000 0.000 0.000 6.848 0.000 3.424 3.424 3.570" Properties=species:S:1:pos:R:3 pbc="T T T"
Sr 0.000 0.000 0.000
Sr 6.848 3.424 1.785
As 4.368 1.712 0.893
As 8.560 7.792 2.678
As 5.136 5.903 2.678
As 2.480 5.136 0.893
B 3.424 3.424 0.000
B 3.424 6.848 1.785
```

Values from the calculation:
energy of formation = -301 meV per atom
space group = I-42d, No. 122
calculated volume = 167.4 Å³ per cell
raw total energy = -4.715 eV per atom
density = 4.93 Mg/m³

=====

Record 2
VASP calculation (PBE) on a relaxed structure of AlCr2Br.

Cell and atoms, written as extended XYZ:
```
4
Lattice="-3.052 3.141 -4.718 -6.195 1.571 -0.767 5.500 0.064 3.344" Properties=species:S:1:pos:R:3 pbc="T T T"
Al -4.376 2.230 -2.596
Cr -1.839 3.163 -2.504
Cr -9.192 4.684 -5.452
Br -2.210 1.767 0.184
```

Values from the calculation:
formation energy from raw total energies = 325 meV/atom
space group = Imm2, No. 44
calculated volume = 78.3 Å³ per cell
distance to the lowest polymorph of the same formula = 139 meV per atom
raw total energy = -5.840 eV per atom
density = 4.47 Mg/m³

=====

Record 3
VASP calculation (PBE) on a relaxed structure of Ti2NbHPd.

Cell and atoms, written as extended XYZ:
```
5
Lattice="-3.664 1.697 -1.606 0.074 -2.902 -3.234 -1.946 -2.295 2.015" Properties=species:S:1:pos:R:3 pbc="T T T"
Pd -0.973 -1.147 1.007
H 0.000 0.000 0.000
Ti -1.832 0.848 -0.803
Ti 0.037 -1.451 -1.617
Nb -2.768 -1.750 -1.413
```

Values from the calculation:
space group = P4/mmm, No. 123
calculated volume = 68.4 Å³ per cell
distance to the lowest polymorph of the same formula = 49 meV per atom
raw total energy = -7.114 eV per atom
density = 7.19 Mg/m³